(1)
{"formula": "ZnReOs2", "functional": "GGA-PBE", "state": "relaxed", "space_group": "Cmm2", "volume_a3_per_cell": 59.14, "m_tot_mub_per_atom": 0.000, "energy_ev_per_atom": -8.600, "cell": [[1.410, -2.307, 0.000], [1.410, 2.307, 0.000], [0.000, 0.000, 9.086]], "species": ["Zn", "Re", "Os", "Os"], "frac_coords": [[0.000, 0.000, 0.000], [0.500, 0.500, 0.746], [0.000, 0.000, 0.499], [0.500, 0.500, 0.247]]}

=====

(2)
{"formula": "InCo2Ru", "functional": "GGA-PBE", "state": "relaxed", "space_group": "F-43m", "volume_a3_per_cell": 56.90, "m_tot_mub_per_atom": 1.004, "energy_ev_per_atom": -6.288, "cell": [[0.000, 3.053, 3.053], [3.053, 0.000, 3.053], [3.053, 3.053, 0.000]], "species": ["In", "Co", "Co", "Ru"], "frac_coords": [[0.000, 0.000, 0.000], [0.250, 0.250, 0.250], [0.500, 0.500, 0.500], [0.750, 0.750, 0.750]]}

=====

(3)
{"formula": "Nd4GeIr", "functional": "GGA-PBE", "state": "relaxed", "space_group": "C2/c", "volume_a3_per_cell": 342.60, "m_tot_mub_per_atom": 0.000, "energy_ev_per_atom": -5.962, "cell": [[4.538, -6.914, 0.000], [4.538, 6.914, 0.000], [-3.071, 0.000, 5.460]], "species": ["Nd", "Nd", "Nd", "Nd", "Nd", "Nd", "Nd", "Nd", "Ge", "Ge", "Ir", "Ir"], "frac_coords": [[0.061, 0.696, 0.914], [0.227, 0.356, 0.697], [0.304, 0.939, 0.586], [0.356, 0.227, 0.197], [0.644, 0.773, 0.803], [0.696, 0.061, 0.414], [0.773, 0.644, 0.303], [0.939, 0.304, 0.086], [0.371, 0.629, 0.250], [0.629, 0.371, 0.750], [0.000, 0.000, 0.250], [0.000, 0.000, 0.750]]}